Density functional theory data (PBE) for a geometry-optimized CaDy3O structure.

The structure in POSCAR format:
```
CaDy3O
1.0
4.9746 0.0000 0.0000
0.0000 4.9746 0.0000
0.0000 0.0000 4.9746
Ca Dy O
1 3 1
Cartesian
0.0000 0.0000 0.0000
0.0000 2.4873 2.4873
2.4873 0.0000 2.4873
2.4873 2.4873 0.0000
2.4873 2.4873 2.4873
```

Calculated values
- Formation energy without anion corrections: -0.998 eV/atom
- E: -25.8 eV/cell
- Mass density: 7.332 g/cm³

---

Density functional theory data (PBE) for a geometry-optimized ZnTe2Os structure.

The structure in POSCAR format:
```
ZnTe2Os
1.0
2.4910 -5.3261 0.0000
2.4910 5.3261 0.0000
0.0000 0.0000 4.0131
Zn Te Os
1 2 1
Cartesian
0.0000 0.0000 0.0000
2.4910 1.6909 2.0065
2.4910 -1.6909 2.0065
2.4910 0.0000 0.0000
```

Calculated values
- Formation energy without anion corrections: 0.186 eV/atom
- E: -18.0 eV/cell
- Mass density: 7.966 g/cm³

---

Density functional theory data (PBE) for a geometry-optimized Cs4La3TlS8 structure.

The structure in POSCAR format:
```
Cs4La3TlS8
1.0
7.4511 -4.2973 0.0000
7.4511 4.2973 0.0000
-4.9656 0.0000 8.0909
Cs La Tl S
4 3 1 8
Cartesian
0.0000 0.0000 0.0000
3.7256 2.1487 0.0000
3.7256 -2.1487 0.0000
7.4511 0.0000 0.0000
-2.4828 0.0000 4.0455
1.2427 2.1487 4.0455
1.2427 -2.1487 4.0455
4.9683 0.0000 4.0455
-0.0006 0.0000 5.5544
3.7473 2.1119 5.5679
2.5144 0.0000 2.5176
6.1893 2.1119 2.5231
3.7473 -2.1119 5.5679
7.4222 0.0000 5.5733
6.1893 -2.1119 2.5231
9.9372 0.0000 2.5366
```

Calculated values
- Formation energy without anion corrections: -1.513 eV/atom
- E: -77.8 eV/cell
- Mass density: 4.516 g/cm³